Record 1
# KV PBE-GGA relaxed
data_KV
_symmetry_space_group_name_H-M 'P m n 21'
_symmetry_Int_Tables_number 31
_cell_length_a 15.0186
_cell_length_b 4.0694
_cell_length_c 6.7693
_cell_angle_alpha 90.00
_cell_angle_beta 90.00
_cell_angle_gamma 90.00
loop_
_symmetry_equiv_pos_as_xyz
'x,y,z'
'-x+1/2,-y,z+1/2'
'-x,y,z'
'x+1/2,-y,z+1/2'
loop_
_atom_site_label
_atom_site_type_symbol
_atom_site_fract_x
_atom_site_fract_y
_atom_site_fract_z
_atom_site_occupancy
K1 K 0.0000 0.2172 0.0000 1
K2 K 0.2188 0.7109 0.9947 1
V1 V 0.0000 0.3154 0.4995 1
V2 V 0.0722 0.8116 0.4992 1
# DOS(E_F) in states/eV per atom: 0.737
# Density in g/cm³: 2.17
# E above lowest polymorph in eV/f.u.: 0.51
# E_tot in eV/atom: -4.11

---

Record 2
# Pa4NiPt3 PBE-GGA relaxed
data_Pa4NiPt3
_symmetry_space_group_name_H-M 'P m m 2'
_symmetry_Int_Tables_number 25
_cell_length_a 3.6482
_cell_length_b 4.1407
_cell_length_c 11.4880
_cell_angle_alpha 90.00
_cell_angle_beta 90.00
_cell_angle_gamma 90.00
loop_
_symmetry_equiv_pos_as_xyz
'x,y,z'
'-x,-y,z'
'-x,y,z'
'x,-y,z'
loop_
_atom_site_label
_atom_site_type_symbol
_atom_site_fract_x
_atom_site_fract_y
_atom_site_fract_z
_atom_site_occupancy
Pa1 Pa 0.0000 0.0000 0.0000 1
Pa2 Pa 0.0000 0.5000 0.2875 1
Pa3 Pa 0.5000 0.0000 0.4920 1
Pa4 Pa 0.5000 0.5000 0.7978 1
Ni1 Ni 0.5000 0.0000 0.2360 1
Pt1 Pt 0.0000 0.0000 0.7254 1
Pt2 Pt 0.0000 0.5000 0.5557 1
Pt3 Pt 0.5000 0.5000 0.0801 1
# DOS(E_F) in states/eV per atom: 1.545
# Density in g/cm³: 15.00
# E_tot in eV/atom: -8.46

---

Volume / Å³/atom: 34.48 21.69